1.
Tb4AgHg7 | PBE | optimized geometry

Results
Its space group is C2/m. The raw total energy is -2.21 eV/atom. For the formation energy, the calculation gives -0.253 eV/atom. Its volume is 26.55 Å³ per atom.

Geometry as POSCAR:
```
Tb4AgHg7
1.0
6.600 -2.665 0.000
6.600 2.665 0.000
-5.449 0.000 9.056
Tb Ag Hg
4 1 7
Direct
0.077 0.077 0.275
0.237 0.237 0.812
0.763 0.763 0.188
0.923 0.923 0.725
0.500 0.500 0.500
0.000 0.000 0.500
0.143 0.143 0.036
0.310 0.310 0.576
0.422 0.422 0.162
0.578 0.578 0.838
0.690 0.690 0.424
0.857 0.857 0.964
```

***

2.
Tb4AgHg3 | PBE | optimized geometry

Results
Its space group is Pmm2. The raw total energy is -3.18 eV/atom. For the formation energy, the calculation gives -0.398 eV/atom. For the energy above the most stable polymorph in this dataset, the calculation gives 42 meV/atom. Its volume is 26.32 Å³ per atom.

Geometry as POSCAR:
```
Tb4AgHg3
1.0
3.763 0.000 0.000
0.000 4.842 0.000
0.000 0.000 11.554
Tb Ag Hg
4 1 3
Direct
0.000 0.000 0.000
0.000 0.500 0.287
0.500 0.000 0.492
0.500 0.500 0.792
0.500 0.000 0.224
0.000 0.000 0.729
0.000 0.500 0.557
0.500 0.500 0.062
```

***

3.
Tb4Ag2Hg | PBE | optimized geometry

Results
Its space group is R-3m. The raw total energy is -3.71 eV/atom. For the formation energy, the calculation gives -0.209 eV/atom. For the energy above the most stable polymorph in this dataset, the calculation gives 0 meV/atom. Its volume is 27.28 Å³ per atom.

Geometry as POSCAR:
```
Tb4Ag2Hg
1.0
2.581 1.490 8.278
-2.581 1.490 8.278
0.000 -2.980 8.278
Tb Ag Hg
4 2 1
Direct
0.120 0.120 0.120
0.372 0.372 0.372
0.628 0.628 0.628
0.880 0.880 0.880
0.249 0.249 0.249
0.751 0.751 0.751
0.500 0.500 0.500
```

***

4.
Tb4Ag2Hg | PBE | optimized geometry

Results
Its space group is R-3m. The raw total energy is -3.57 eV/atom. For the formation energy, the calculation gives -0.071 eV/atom. For the energy above the most stable polymorph in this dataset, the calculation gives 138 meV/atom. Its volume is 28.98 Å³ per atom.

Geometry as POSCAR:
```
Tb4Ag2Hg
1.0
2.476 1.430 9.553
-2.476 1.430 9.553
0.000 -2.859 9.553
Tb Ag Hg
4 2 1
Direct
0.121 0.121 0.121
0.296 0.296 0.296
0.704 0.704 0.704
0.879 0.879 0.879
0.400 0.400 0.400
0.600 0.600 0.600
0.500 0.500 0.500
```

***

5.
Tb3Ag4Hg2 | PBE | optimized geometry

Results
Its space group is C2/m. The raw total energy is -3.20 eV/atom. For the formation energy, the calculation gives -0.322 eV/atom. Its volume is 22.95 Å³ per atom.

Geometry as POSCAR:
```
Tb3Ag4Hg2
1.0
5.404 -2.409 0.000
5.404 2.409 0.000
-4.524 0.000 7.934
Tb Ag Hg
3 4 2
Direct
0.000 0.000 0.000
0.335 0.335 0.332
0.665 0.665 0.668
0.052 0.052 0.389
0.272 0.272 0.942
0.728 0.728 0.058
0.948 0.948 0.611
0.387 0.387 0.722
0.613 0.613 0.278
```

***

6.
Tb8Ag2Hg | PBE | optimized geometry

Results
Its space group is C2/m. The raw total energy is -4.08 eV/atom. For the formation energy, the calculation gives -0.162 eV/atom. Its volume is 28.05 Å³ per atom.

Geometry as POSCAR:
```
Tb8Ag2Hg
1.0
8.017 -2.661 0.000
8.017 2.661 0.000
-4.297 0.000 7.232
Tb Ag Hg
8 2 1
Direct
0.069 0.069 0.220
0.140 0.140 0.693
0.317 0.317 0.542
0.403 0.403 0.043
0.597 0.597 0.957
0.683 0.683 0.458
0.860 0.860 0.307
0.931 0.931 0.780
0.223 0.223 0.117
0.777 0.777 0.883
0.500 0.500 0.500
```

***

7.
TbAg3Hg2 | PBE | optimized geometry

Results
Its space group is C2/m. The raw total energy is -2.46 eV/atom. For the formation energy, the calculation gives -0.159 eV/atom. Its volume is 21.51 Å³ per atom.

Geometry as POSCAR:
```
TbAg3Hg2
1.0
7.725 -2.124 0.000
7.725 2.124 0.000
-5.074 0.000 7.867
Tb Ag Hg
2 6 4
Direct
0.109 0.109 0.470
0.891 0.891 0.530
0.073 0.073 0.937
0.251 0.251 0.898
0.420 0.420 0.819
0.580 0.580 0.181
0.749 0.749 0.102
0.927 0.927 0.063
0.232 0.232 0.305
0.425 0.425 0.285
0.575 0.575 0.715
0.768 0.768 0.695
```

***

8.
Tb3AgHg2 | PBE | optimized geometry

Results
Its space group is P-3m1. The raw total energy is -3.32 eV/atom. For the formation energy, the calculation gives -0.426 eV/atom. For the energy above the most stable polymorph in this dataset, the calculation gives 0 meV/atom. Its volume is 25.48 Å³ per atom.

Geometry as POSCAR:
```
Tb3AgHg2
1.0
5.242 0.000 0.000
-2.621 4.539 0.000
0.000 0.000 12.851
Tb Ag Hg
6 2 4
Direct
0.000 0.000 0.247
0.000 0.000 0.753
0.333 0.667 0.414
0.333 0.667 0.917
0.667 0.333 0.083
0.667 0.333 0.586
0.333 0.667 0.165
0.667 0.333 0.835
0.000 0.000 0.000
0.000 0.000 0.500
0.333 0.667 0.668
0.667 0.333 0.332
```

***

9.
Tb4AgHg2 | PBE | optimized geometry

Results
Its space group is I-42d. The raw total energy is -3.40 eV/atom. For the formation energy, the calculation gives -0.258 eV/atom. For the energy above the most stable polymorph in this dataset, the calculation gives 9 meV/atom. Its volume is 27.56 Å³ per atom.

Geometry as POSCAR:
```
Tb4AgHg2
1.0
-4.568 4.568 4.624
4.568 -4.568 4.624
4.568 4.568 -4.624
Tb Ag Hg
8 2 4
Direct
0.122 0.229 0.747
0.126 0.732 0.753
0.268 0.021 0.394
0.482 0.376 0.253
0.624 0.878 0.106
0.628 0.874 0.606
0.771 0.518 0.894
0.979 0.372 0.247
0.000 0.000 0.000
0.750 0.250 0.500
0.251 0.625 0.126
0.375 0.501 0.626
0.499 0.125 0.874
0.875 0.749 0.374
```

***

10.
Tb3Ag2Hg2 | PBE | optimized geometry

Results
Its space group is P-1. The raw total energy is -3.21 eV/atom. For the formation energy, the calculation gives -0.322 eV/atom. Its volume is 24.50 Å³ per atom.

Geometry as POSCAR:
```
Tb3Ag2Hg2
1.0
4.933 0.000 0.000
2.459 5.112 0.000
0.016 1.624 6.800
Tb Ag Hg
3 2 2
Direct
0.000 0.000 0.000
0.369 0.261 0.276
0.631 0.739 0.724
0.116 0.769 0.432
0.884 0.231 0.568
0.332 0.337 0.802
0.668 0.663 0.198
```

***

11.
TbThAgHg | PBE | optimized geometry

Results
Its space group is F-43m. The raw total energy is -4.03 eV/atom. For the formation energy, the calculation gives -0.225 eV/atom. Its volume is 26.37 Å³ per atom.

Geometry as POSCAR:
```
TbThAgHg
1.0
0.000 3.750 3.750
3.750 0.000 3.750
3.750 3.750 0.000
Tb Th Ag Hg
1 1 1 1
Direct
0.000 0.000 0.000
0.500 0.500 0.500
0.250 0.250 0.250
0.750 0.750 0.750
```

***

12.
Tb2ThAgHg4 | PBE | optimized geometry

Results
Its space group is R-3m. The raw total energy is -2.90 eV/atom. For the formation energy, the calculation gives -0.308 eV/atom. Its volume is 25.49 Å³ per atom.

Geometry as POSCAR:
```
Tb2ThAgHg4
1.0
2.525 1.458 9.231
-2.525 1.458 9.231
0.000 -2.916 9.231
Tb Th Ag Hg
2 1 1 4
Direct
0.239 0.239 0.239
0.761 0.761 0.761
0.000 0.000 0.000
0.500 0.500 0.500
0.128 0.128 0.128
0.381 0.381 0.381
0.619 0.619 0.619
0.872 0.872 0.872
```

***

13.
Tb4TlAgHg2 | PBE | optimized geometry

Results
Its space group is R-3m. The raw total energy is -3.44 eV/atom. For the formation energy, the calculation gives -0.397 eV/atom. Its volume is 26.06 Å³ per atom.

Geometry as POSCAR:
```
Tb4TlAgHg2
1.0
2.634 1.521 8.673
-2.634 1.521 8.673
0.000 -3.042 8.673
Tb Tl Ag Hg
4 1 1 2
Direct
0.122 0.122 0.122
0.372 0.372 0.372
0.628 0.628 0.628
0.878 0.878 0.878
0.500 0.500 0.500
0.000 0.000 0.000
0.251 0.251 0.251
0.749 0.749 0.749
```

***

14.
Tb2TmAgHg4 | PBE | optimized geometry

Results
Its space group is R-3m. The raw total energy is -2.63 eV/atom. For the formation energy, the calculation gives -0.405 eV/atom. Its volume is 24.16 Å³ per atom.

Geometry as POSCAR:
```
Tb2TmAgHg4
1.0
2.557 1.476 8.532
-2.557 1.476 8.532
0.000 -2.953 8.532
Tb Tm Ag Hg
2 1 1 4
Direct
0.243 0.243 0.243
0.757 0.757 0.757
0.000 0.000 0.000
0.500 0.500 0.500
0.123 0.123 0.123
0.371 0.371 0.371
0.629 0.629 0.629
0.877 0.877 0.877
```

***

15.
TbYAgHg | PBE | optimized geometry

Results
Its space group is F-43m. The raw total energy is -3.97 eV/atom. For the formation energy, the calculation gives -0.410 eV/atom. Its volume is 25.12 Å³ per atom.

Geometry as POSCAR:
```
TbYAgHg
1.0
0.000 3.690 3.690
3.690 0.000 3.690
3.690 3.690 0.000
Tb Y Ag Hg
1 1 1 1
Direct
0.000 0.000 0.000
0.500 0.500 0.500
0.250 0.250 0.250
0.750 0.750 0.750
```

***

16.
TbZnAgHg | PBE | optimized geometry

Results
Its space group is F-43m. The raw total energy is -2.56 eV/atom. For the formation energy, the calculation gives -0.295 eV/atom. Its volume is 20.81 Å³ per atom.

Geometry as POSCAR:
```
TbZnAgHg
1.0
0.000 3.466 3.466
3.466 0.000 3.466
3.466 3.466 0.000
Tb Zn Ag Hg
1 1 1 1
Direct
0.000 0.000 0.000
0.750 0.750 0.750
0.500 0.500 0.500
0.250 0.250 0.250
```

***

17.
TcAgHg | PBE | optimized geometry

Results
Its space group is I4mm. The raw total energy is -3.95 eV/atom. For the formation energy, the calculation gives 0.561 eV/atom. For the energy above the most stable polymorph in this dataset, the calculation gives 28 meV/atom. Its volume is 17.61 Å³ per atom.

Geometry as POSCAR:
```
TcAgHg
1.0
-1.413 1.413 6.618
1.413 -1.413 6.618
1.413 1.413 -6.618
Tc Ag Hg
1 1 1
Direct
0.000 0.000 0.000
0.657 0.657 0.000
0.334 0.334 0.000
```

***

18.
TcAg4Hg | PBE | optimized geometry

Results
Its space group is F-43m. The raw total energy is -3.09 eV/atom. For the formation energy, the calculation gives 0.588 eV/atom. Its volume is 19.17 Å³ per atom.

Geometry as POSCAR:
```
TcAg4Hg
1.0
0.000 3.860 3.860
3.860 0.000 3.860
3.860 3.860 0.000
Tc Ag Hg
1 4 1
Direct
0.000 0.000 0.000
0.124 0.625 0.625
0.625 0.124 0.625
0.625 0.625 0.124
0.625 0.625 0.625
0.250 0.250 0.250
```

***

19.
TcAgHg3 | PBE | optimized geometry

Results
Its space group is Pm-3m. The raw total energy is -1.94 eV/atom. For the formation energy, the calculation gives 0.881 eV/atom. For the energy above the most stable polymorph in this dataset, the calculation gives 0 meV/atom. Its volume is 29.86 Å³ per atom.

Geometry as POSCAR:
```
TcAgHg3
1.0
5.305 0.000 0.000
0.000 5.305 0.000
0.000 0.000 5.305
Tc Ag Hg
1 1 3
Direct
0.000 0.000 0.000
0.500 0.500 0.500
0.000 0.000 0.500
0.000 0.500 0.000
0.500 0.000 0.000
```

***

20.
TcAgHg | PBE | optimized geometry

Results
Its space group is F-43m. The raw total energy is -3.50 eV/atom. For the formation energy, the calculation gives 1.008 eV/atom. For the energy above the most stable polymorph in this dataset, the calculation gives 475 meV/atom. Its volume is 21.93 Å³ per atom.

Geometry as POSCAR:
```
TcAgHg
1.0
0.000 3.204 3.204
3.204 0.000 3.204
3.204 3.204 0.000
Tc Ag Hg
1 1 1
Direct
0.000 0.000 0.000
0.750 0.750 0.750
0.250 0.250 0.250
```

***

21.
TcAgHg | PBE | optimized geometry

Results
Its space group is P3m1. The raw total energy is -3.97 eV/atom. For the formation energy, the calculation gives 0.532 eV/atom. For the energy above the most stable polymorph in this dataset, the calculation gives 0 meV/atom. Its volume is 17.61 Å³ per atom.

Geometry as POSCAR:
```
TcAgHg
1.0
2.887 0.000 0.000
-1.444 2.500 0.000
0.000 0.000 7.316
Tc Ag Hg
1 1 1
Direct
0.000 0.000 0.000
0.333 0.667 0.318
0.667 0.333 0.668
```

***

22.
TcAgHg | PBE | optimized geometry

Results
Its space group is Imm2. The raw total energy is -3.81 eV/atom. For the formation energy, the calculation gives 0.699 eV/atom. For the energy above the most stable polymorph in this dataset, the calculation gives 166 meV/atom. Its volume is 17.92 Å³ per atom.

Geometry as POSCAR:
```
TcAgHg
1.0
-1.382 2.101 4.628
1.382 -2.101 4.628
1.382 2.101 -4.628
Tc Ag Hg
1 1 1
Direct
0.000 0.000 0.000
0.660 0.660 0.000
0.334 0.334 0.000
```

***

23.
Ti2TcAgHg | PBE | optimized geometry

Results
Its space group is P4/mmm. The raw total energy is -4.23 eV/atom. For the formation energy, the calculation gives 1.631 eV/atom. Its volume is 24.42 Å³ per atom.

Geometry as POSCAR:
```
Ti2TcAgHg
1.0
4.955 0.000 0.000
0.000 4.955 0.000
0.000 0.000 4.972
Ti Tc Ag Hg
2 1 1 1
Direct
0.000 0.500 0.000
0.500 0.000 0.000
0.000 0.000 0.500
0.500 0.500 0.500
0.000 0.000 0.000
```

***

24.
ZrTcAg2Hg | PBE | optimized geometry

Results
Its space group is P4/mmm. The raw total energy is -3.27 eV/atom. For the formation energy, the calculation gives 1.713 eV/atom. Its volume is 29.27 Å³ per atom.

Geometry as POSCAR:
```
ZrTcAg2Hg
1.0
5.207 0.000 0.000
0.000 5.207 0.000
0.000 0.000 5.399
Zr Tc Ag Hg
1 1 2 1
Direct
0.000 0.000 0.000
0.500 0.500 0.500
0.000 0.500 0.000
0.500 0.000 0.000
0.000 0.000 0.500
```

***

25.
Ag4HgTe | PBE | optimized geometry

Results
Its space group is F-43m. The raw total energy is -2.36 eV/atom. Its volume is 21.32 Å³ per atom.

Geometry as POSCAR:
```
Ag4HgTe
1.0
0.000 3.999 3.999
3.999 0.000 3.999
3.999 3.999 0.000
Ag Hg Te
4 1 1
Direct
0.125 0.125 0.125
0.125 0.125 0.626
0.125 0.626 0.125
0.626 0.125 0.125
0.750 0.750 0.750
0.500 0.500 0.500
```

***

26.
AgHg2Te | PBE | optimized geometry

Results
Its space group is P4/mmm. The raw total energy is -1.57 eV/atom. For the energy above the most stable polymorph in this dataset, the calculation gives 65 meV/atom. Its volume is 27.79 Å³ per atom.

Geometry as POSCAR:
```
AgHg2Te
1.0
4.100 0.000 0.000
0.000 4.100 0.000
0.000 0.000 6.612
Ag Hg Te
1 2 1
Direct
0.000 0.000 0.000
0.000 0.500 0.500
0.500 0.000 0.500
0.500 0.500 0.000
```